Record 1
DFT (PBEsol) results for a relaxed structure of Tc5Ir.

Output
SG   Cm, No. 8

a = 5.1143 Å, b = 5.1143 Å, c = 6.4203 Å
α = 103.22°, β = 103.22°, γ = 30.79°
Positions (direct):
Tc: 0.0000 0.0000 0.0000
Tc: 0.0564 0.0564 0.6126
Tc: 0.3901 0.3901 0.2794
Tc: 0.6684 0.6684 0.3319
Tc: 0.7242 0.7242 0.9474
Ir: 0.3341 0.3341 0.6681


Record 2
DFT (PBEsol) results for a relaxed structure of TcIr2.

Output
SG   I4/mmm, No. 139

a = 6.0495 Å, b = 6.0495 Å, c = 6.0495 Å
α = 154.17°, β = 154.17°, γ = 36.85°
Positions (direct):
Tc: 0.0000 0.0000 0.0000
Ir: 0.3374 0.3374 0.0000
Ir: 0.6626 0.6626 0.0000


Results for ΔE_f: -0.133 -0.175 (in eV per atom, following the order of the records).